Here is crystalline AcScP2 at its relaxed geometry from Alexandria via LeMat-Bulk. Energies are from GGA-PBE.

The structure in CIF format:
```
data_AcScP2
_space_group_name_H-M_alt 'P 1'
_space_group_IT_number 1
_cell_length_a 7.093
_cell_length_b 7.093
_cell_length_c 7.093
_cell_angle_alpha 33.73
_cell_angle_beta 33.73
_cell_angle_gamma 33.73
loop_
_space_group_symop_operation_xyz
'x,y,z'
loop_
_atom_site_label
_atom_site_type_symbol
_atom_site_fract_x
_atom_site_fract_y
_atom_site_fract_z
Ac1 Ac 0.000 0.000 0.000
Sc1 Sc 0.500 0.500 0.500
P1 P 0.237 0.237 0.237
P2 P 0.763 0.763 0.763
```

N(E_F)   0.56 states/eV/cell
Formation energy from the elements   -1370 meV per atom
Theoretical density   5.66 g/cm3
Magnetic moment   0.00 μB per atom
Energy relative to the lowest polymorph listed for this composition   0.0 kJ/mol of atoms

Here is crystalline AcScP2 at its relaxed geometry from Alexandria via LeMat-Bulk. Energies are from GGA-PBE.

The structure in CIF format:
```
data_AcScP2
_space_group_name_H-M_alt 'P 1'
_space_group_IT_number 1
_cell_length_a 5.013
_cell_length_b 5.013
_cell_length_c 5.013
_cell_angle_alpha 60.00
_cell_angle_beta 60.00
_cell_angle_gamma 60.00
loop_
_space_group_symop_operation_xyz
'x,y,z'
loop_
_atom_site_label
_atom_site_type_symbol
_atom_site_fract_x
_atom_site_fract_y
_atom_site_fract_z
Ac1 Ac 0.000 0.000 0.000
Sc1 Sc 0.500 0.500 0.500
P1 P 0.250 0.250 0.250
P2 P 0.750 0.750 0.750
```

N(E_F)   1.35 states/eV/cell
Formation energy from the elements   -919 meV per atom
Theoretical density   6.22 g/cm3
Magnetic moment   0.00 μB per atom
Energy relative to the lowest polymorph listed for this composition   43.6 kJ/mol of atoms

Here is crystalline Ac2Sc2Sn2P at its relaxed geometry from Alexandria via LeMat-Bulk. Energies are from GGA-PBE.

The structure in CIF format:
```
data_Ac2Sc2Sn2P
_space_group_name_H-M_alt 'P 1'
_space_group_IT_number 1
_cell_length_a 9.327
_cell_length_b 9.327
_cell_length_c 9.327
_cell_angle_alpha 149.42
_cell_angle_beta 149.42
_cell_angle_gamma 43.79
loop_
_space_group_symop_operation_xyz
'x,y,z'
loop_
_atom_site_label
_atom_site_type_symbol
_atom_site_fract_x
_atom_site_fract_y
_atom_site_fract_z
Ac1 Ac 0.172 0.172 0.000
Ac2 Ac 0.828 0.828 0.000
Sc1 Sc 0.000 0.500 0.500
Sc2 Sc 0.500 0.000 0.500
Sn1 Sn 0.379 0.379 0.000
Sn2 Sn 0.621 0.621 0.000
P1 P 0.000 0.000 0.000
```

N(E_F)   4.89 states/eV/cell
Formation energy from the elements   -941 meV per atom
Theoretical density   6.44 g/cm3
Magnetic moment   0.07 μB per atom

What is the formation energy from the elements in the second record?
-919 meV per atom

Among the records above, which one has the lowest formation energy from the elements?
number 1